Entry 1:
A plane-wave DFT calculation with GGA-PBE was carried out for crystalline Ti3Al3Ga2 at its relaxed geometry.

POSCAR file:
```
Ti3Al3Ga2
1.0
4.013 0.000 0.000
0.000 3.908 0.000
0.000 0.000 8.070
Ga Ti Al
2 3 3
Cartesian
0.000 0.000 6.139 Ga
0.000 0.000 1.931 Ga
2.006 1.954 2.138 Ti
2.006 1.954 5.932 Ti
2.006 0.000 0.000 Ti
0.000 1.954 4.035 Al
0.000 1.954 0.000 Al
2.006 0.000 4.035 Al
```

Output
E, eV for the cell shown: -44.38
Space group: Pmmm, No. 47
Crystal system: orthorhombic
Spin magnetization, μB/cell: 0.00
Energy of formation, eV/atom: -0.43

Entry 2:
A plane-wave DFT calculation with GGA-PBE was carried out for crystalline Ti12Al3Ga at its relaxed geometry.

POSCAR file:
```
Ti12Al3Ga
1.0
-3.642 0.652 -3.513
-2.015 -4.516 1.252
-5.899 4.562 6.964
Al Ti Ga
3 12 1
Cartesian
-7.249 1.486 4.087 Al
-4.308 -0.788 0.616 Al
0.000 0.000 0.000 Al
-2.994 -2.242 2.688 Ti
-5.501 3.171 2.587 Ti
-4.864 0.185 3.233 Ti
-1.985 0.018 2.062 Ti
-4.041 2.042 0.864 Ti
-3.739 -1.769 -2.008 Ti
-1.919 -2.095 -0.253 Ti
-6.977 4.313 4.330 Ti
-6.693 0.512 1.470 Ti
-2.564 0.901 -0.879 Ti
-5.929 0.028 6.153 Ti
-4.921 2.287 5.527 Ti
-2.950 2.281 3.482 Ga
```

Output
E, eV for the cell shown: -112.89
Space group: Pmmm, No. 47
Crystal system: orthorhombic
Spin magnetization, μB/cell: 0.00
Energy of formation, eV/atom: -0.24

Entry 3:
A plane-wave DFT calculation with GGA-PBE was carried out for crystalline Ti12AlGa6 at its relaxed geometry.

POSCAR file:
```
Ti12AlGa6
1.0
-1.572 4.134 5.139
-6.048 1.245 -2.801
-2.694 -5.203 3.412
Ga Ti Al
6 12 1
Cartesian
-3.161 2.758 3.474 Ga
-7.128 2.749 2.161 Ga
-3.187 -2.573 3.590 Ga
-7.154 -2.583 2.277 Ga
-4.892 0.160 6.252 Ga
-5.424 0.016 -0.501 Ga
-8.319 1.725 4.546 Ti
-8.960 -0.720 3.471 Ti
-5.652 -1.484 4.193 Ti
-1.355 0.896 2.280 Ti
-6.966 0.109 1.788 Ti
-5.606 1.686 4.179 Ti
-2.693 0.756 -0.115 Ti
-1.996 -1.549 1.205 Ti
-3.349 0.066 3.963 Ti
-4.663 1.660 1.558 Ti
-4.709 -1.510 1.572 Ti
-7.622 -0.580 5.866 Ti
0.000 0.000 0.000 Al
```

Output
E, eV for the cell shown: -121.71
Space group: R-3, No. 148
Crystal system: trigonal
Spin magnetization, μB/cell: 0.03
Energy of formation, eV/atom: -0.27

Entry 4:
A plane-wave DFT calculation with GGA-PBE was carried out for crystalline Ti2AlGa2 at its relaxed geometry.

POSCAR file:
```
Ti2AlGa2
1.0
-2.117 3.378 0.180
-4.154 -2.462 -2.662
-1.785 -3.813 6.312
Ga Al Ti
4 2 4
Cartesian
-1.542 -0.928 -0.722 Ga
-4.456 -2.794 0.029 Ga
-4.287 -0.508 3.361 Ga
-7.337 -2.456 4.024 Ga
-4.061 -0.190 0.036 Al
-2.476 -1.806 4.767 Al
-1.845 1.149 0.966 Ti
-6.058 -1.525 1.602 Ti
-2.505 -1.671 1.903 Ti
-4.753 -3.181 3.799 Ti
```

Output
E, eV for the cell shown: -55.33
Space group: Cmc2_1, No. 36
Crystal system: orthorhombic
Spin magnetization, μB/cell: 0.00
Energy of formation, eV/atom: -0.42